Entry from the Alexandria database: a relaxed BaMnPt2Pb crystal (PBE-GGA).

Cell: 5.4578 5.5091 5.4578 Å, 90.00 90.00 90.00°
Last column: magnetic moment on the atom in μB.
Element x y z (fractional)
Pb (0.5000, 0.5000, 0.5000)  -0.03
Mn (0.0000, 0.5000, 0.0000)  4.18
Ba (0.0000, 0.0000, 0.0000)  0.01
Pt (0.0000, 0.0000, 0.5000)  0.14
Pt (0.5000, 0.0000, 0.0000)  0.15

Magnetic moment in μB per formula unit: 4.85
Space group: P4/mmm (123)
Volume in Å³/atom: 32.8
Energy of formation from the pure elements in meV per atom: 1379.9
N(E_F) in states/eV per atom: 0.943

=====

Entry from the Alexandria database: a relaxed KNa2ZnGa crystal (PBE-GGA).

Cell: 5.8126 5.8126 4.7607 Å, 90.00 90.00 90.00°
Element x y z (fractional)
Na (0.0000, 0.5000, 0.0000)
Na (0.5000, 0.0000, 0.0000)
Zn (0.0000, 0.0000, 0.0000)
K (0.5000, 0.5000, 0.5000)
Ga (0.0000, 0.0000, 0.5000)

Magnetic moment in μB per formula unit: 0.00
Space group: P4/mmm (123)
Volume in Å³/atom: 32.2
Energy of formation from the pure elements in meV per atom: 61.5
N(E_F) in states/eV per atom: 0.649

=====

Entry from the Alexandria database: a relaxed HfFe4Tc crystal (PBE-GGA).

Cell: 4.8391 4.8391 4.8391 Å, 60.00 60.00 60.00°
Last column: magnetic moment on the atom in μB.
Element x y z (fractional)
Hf (0.2500, 0.2500, 0.2500)  -0.16
Tc (0.0000, 0.0000, 0.0000)  0.77
Fe (0.6261, 0.6261, 0.1218)  2.06
Fe (0.6261, 0.1218, 0.6261)  2.06
Fe (0.6261, 0.6261, 0.6261)  2.06
Fe (0.1218, 0.6261, 0.6261)  2.06

Magnetic moment in μB per formula unit: 8.88
Space group: F-43m (216)
Volume in Å³/atom: 13.4
Energy of formation from the pure elements in meV per atom: -125.9
N(E_F) in states/eV per atom: 0.998

=====

Entry from the Alexandria database: a relaxed SrAc2NdAs4 crystal (PBE-GGA).

Cell: 4.4734 7.6927 7.7748 Å, 70.40 90.00 90.00°
Element x y z (fractional)
Sr (0.5000, 0.5000, 0.0000)
Ac (0.0000, 0.0000, 0.0000)
Ac (0.5000, 0.0000, 0.5000)
Nd (0.0000, 0.5000, 0.5000)
As (0.0000, 0.7460, 0.7432)
As (0.0000, 0.2540, 0.2568)
As (0.5000, 0.7405, 0.2601)
As (0.5000, 0.2595, 0.7399)

Magnetic moment in μB per formula unit: 0.00
Space group: P2/m (10)
Volume in Å³/atom: 31.5
Energy of formation from the pure elements in meV per atom: -1313.6
N(E_F) in states/eV per atom: 0.799

=====

Entry from the Alexandria database: a relaxed VRu2Pt crystal (PBE-GGA).

Cell: 3.7502 3.7502 9.2525 Å, 78.31 78.31 90.00°
Last column: magnetic moment on the atom in μB.
Element x y z (fractional)
Ru (0.5987, 0.1250, 0.2500)  -0.03
Ru (0.1513, 0.6250, 0.2500)  -0.03
Ru (0.3750, 0.4013, 0.7500)  -0.03
Ru (0.8750, 0.8487, 0.7500)  -0.03
Pt (0.0000, 0.0000, 0.0000)  0.00
Pt (0.7500, 0.2500, 0.5000)  0.00
V (0.5000, 0.5000, 0.0000)  0.52
V (0.2500, 0.7500, 0.5000)  0.52

Magnetic moment in μB per formula unit: 0.52
Space group: I-42d (122)
Volume in Å³/atom: 15.6
Energy of formation from the pure elements in meV per atom: 324.1
N(E_F) in states/eV per atom: 1.526

=====

Entry from the Alexandria database: a relaxed ZnInW2 crystal (PBE-GGA).

Cell: 2.7821 4.1421 6.0537 Å, 90.00 90.00 90.00°
Element x y z (fractional)
In (0.5000, 0.5000, 0.7412)
W (0.0000, 0.0000, 0.0310)
W (0.5000, 0.5000, 0.2433)
Zn (0.0000, 0.0000, 0.4845)

Magnetic moment in μB per formula unit: 0.00
Space group: Pmm2 (25)
Volume in Å³/atom: 17.4
Energy of formation from the pure elements in meV per atom: 535.5
N(E_F) in states/eV per atom: 0.748

=====

Entry from the Alexandria database: a relaxed Tl2AsW crystal (PBE-GGA).

Cell: 5.8614 5.8614 5.8614 Å, 138.63 138.63 59.94°
Last column: magnetic moment on the atom in μB.
Element x y z (fractional)
Tl (0.0000, 0.0000, 0.0000)  -0.01
Tl (0.5000, 0.5000, 0.0000)  -0.01
As (0.7500, 0.2500, 0.5000)  -0.03
W (0.2500, 0.7500, 0.5000)  1.06

Magnetic moment in μB per formula unit: 1.25
Space group: I4/mmm (139)
Volume in Å³/atom: 21.8
Energy of formation from the pure elements in meV per atom: 1075.2
N(E_F) in states/eV per atom: 1.049

=====

Entry from the Alexandria database: a relaxed PmNdSe3 crystal (PBE-GGA).

Cell: 4.8206 8.5249 8.5628 Å, 95.98 90.00 106.42°
Element x y z (fractional)
Pm (0.8785, 0.7570, 0.0818)
Pm (0.1215, 0.2430, 0.9182)
Nd (0.6476, 0.2951, 0.3664)
Nd (0.3524, 0.7049, 0.6337)
Se (0.8275, 0.6550, 0.4106)
Se (0.3163, 0.6325, 0.9537)
Se (0.9538, 0.9076, 0.7731)
Se (0.1725, 0.3450, 0.5894)
Se (0.0462, 0.0924, 0.2269)
Se (0.6837, 0.3675, 0.0463)

Magnetic moment in μB per formula unit: 0.00
Space group: C2/m (12)
Volume in Å³/atom: 33.6
N(E_F) in states/eV per atom: 0.000
Raw total energy in eV/atom: -5.7429

=====

> The highest volume belongs to which entry?

PmNdSe3